A relaxed structure of OsPt3W4. Source: Alexandria, functional GGA-PBE.

Output
- ΔH_f (0 K): 0.159 eV/atom
- Fermi-level density of states: 8.26 states/eV/cell
- Total energy: -0.734 Ry per atom

Cell: 2.7397 4.8059 9.7532 Å, 90.00 90.00 90.00°
With the nearest neighbours (Å) after each atom.
Positions (direct):
Os  0.0000  0.0000  0.0000  8 W 2.67-2.77, 2 Os 2.74
Pt  0.0000  0.0000  0.5000  2 Pt 2.74, 8 W 2.77-2.93
Pt  0.0000  0.5000  0.2595  8 W 2.72-2.88, 2 Pt 2.74
Pt  0.0000  0.5000  0.7405  8 W 2.72-2.88, 2 Pt 2.74
W  0.5000  0.0000  0.2347  2 Os 2.67, 2 W 2.74, 6 Pt 2.78-2.93
W  0.5000  0.0000  0.7653  2 Os 2.67, 2 W 2.74, 6 Pt 2.78-2.93
W  0.5000  0.5000  0.0000  2 W 2.74, 4 Os 2.77, 4 Pt 2.88
W  0.5000  0.5000  0.5000  8 Pt 2.72-2.77, 2 W 2.74



A relaxed structure of ZrTlPt2. Source: Alexandria, functional GGA-PBE.

Output
- ΔH_f (0 K): -0.418 eV/atom
- Fermi-level density of states: 4.35 states/eV/cell
- Total energy: -0.453 Ry per atom

Cell: 5.9721 6.7795 3.7806 Å, 90.00 90.14 90.00°
With the nearest neighbours (Å) after each atom.
Positions (direct):
Zr  0.0000  0.0000  0.0000  8 Pt 2.94-2.95, 2 Tl 2.99
Zr  0.5000  0.5000  0.0000  8 Pt 2.94-2.95, 2 Tl 2.99
Tl  0.0000  0.5000  0.0000  8 Pt 2.94-2.95, 2 Zr 2.99
Tl  0.5000  0.0000  0.0000  8 Pt 2.94-2.95, 2 Zr 2.99
Pt  0.2500  0.2500  0.5000  4 Zr 2.94-2.95, 4 Tl 2.94-2.95, 2 Pt 2.99
Pt  0.2500  0.7500  0.5000  4 Zr 2.94-2.95, 4 Tl 2.94-2.95, 2 Pt 2.99
Pt  0.7500  0.2500  0.5000  4 Tl 2.94-2.95, 4 Zr 2.94-2.95, 2 Pt 2.99
Pt  0.7500  0.7500  0.5000  4 Zr 2.94-2.95, 4 Tl 2.94-2.95, 2 Pt 2.99



A relaxed structure of In2CuAgTe2Se2. Source: Alexandria, functional GGA-PBE.

Output
- Formation energy without anion corrections: -0.339 eV/atom
- Fermi-level density of states: 1.96 states/eV/cell
- Total energy: -0.261 Ry per atom

Cell: 8.7437 12.4466 6.2179 Å, 90.00 134.62 90.00°
With the nearest neighbours (Å) after each atom.
Positions (direct):
In  0.0000  0.0000  0.0000  2 Se 2.70, 2 Te 2.83
In  0.0000  0.2384  0.5000  2 Se 2.68, 2 Te 2.83
In  0.5000  0.5000  0.0000  2 Se 2.70, 2 Te 2.83
In  0.5000  0.7384  0.5000  2 Se 2.68, 2 Te 2.83
Cu  0.0000  0.5076  0.0000  2 Se 2.47, 2 Te 2.60
Cu  0.5000  0.0076  0.0000  2 Se 2.47, 2 Te 2.60
Ag  0.0000  0.7335  0.5000  2 Se 2.69, 2 Te 2.79
Ag  0.5000  0.2335  0.5000  2 Se 2.69, 2 Te 2.79
Te  0.2357  0.3774  0.4603  1 Cu 2.60, 1 Ag 2.79, 2 In 2.83
Te  0.2643  0.8774  0.5397  1 Cu 2.60, 1 Ag 2.79, 2 In 2.83
Te  0.7357  0.8774  0.4603  1 Cu 2.60, 1 Ag 2.79, 2 In 2.83
Te  0.7643  0.3774  0.5397  1 Cu 2.60, 1 Ag 2.79, 2 In 2.83
Se  0.2406  0.6146  0.0061  1 Cu 2.47, 2 In 2.68-2.70, 1 Ag 2.69
Se  0.2594  0.1146  0.9939  1 Cu 2.47, 2 In 2.68-2.70, 1 Ag 2.69
Se  0.7406  0.1146  0.0061  1 Cu 2.47, 2 In 2.68-2.70, 1 Ag 2.69
Se  0.7594  0.6146  0.9939  1 Cu 2.47, 2 In 2.68-2.70, 1 Ag 2.69



A relaxed structure of BWI3. Source: Alexandria, functional GGA-PBE.

Output
- Formation energy without anion corrections: 1.884 eV/atom
- Fermi-level density of states: 5.70 states/eV/cell
- Total energy: -0.218 Ry per atom

Cell: 4.8520 4.8520 4.8520 Å, 90.00 90.00 90.00°
With the nearest neighbours (Å) after each atom.
Positions (direct):
B  0.0000  0.0000  0.0000  6 I 2.43
W  0.5000  0.5000  0.5000  12 I 3.43
I  0.0000  0.0000  0.5000  2 B 2.43
I  0.0000  0.5000  0.0000  2 B 2.43
I  0.5000  0.0000  0.0000  2 B 2.43



A relaxed structure of Ti11Ga9Ir4. Source: Alexandria, functional GGA-PBE.

Output
- ΔH_f (0 K): -0.578 eV/atom
- Fermi-level density of states: 18.20 states/eV/cell
- Total energy: -0.500 Ry per atom

Cell: 11.9854 11.9854 2.9428 Å, 90.00 90.00 115.75°
With the nearest neighbours (Å) after each atom.
Positions (direct):
Ti  0.0000  0.0000  0.0000  8 Ga 2.74, 2 Ti 2.94
Ti  0.0416  0.4025  0.0000  2 Ir 2.63, 6 Ga 2.76-2.82, 4 Ti 2.83-2.94
Ti  0.1734  0.8266  0.0000  8 Ga 2.81-2.83, 4 Ti 2.83-2.94
Ti  0.2631  0.2631  0.0000  4 Ir 2.64, 4 Ga 2.88, 2 Ti 2.94
Ti  0.3801  0.6199  0.0000  4 Ir 2.62, 2 Ga 2.84
Ti  0.4025  0.0416  0.0000  2 Ir 2.63, 6 Ga 2.76-2.82, 4 Ti 2.83-2.94
Ti  0.5975  0.9584  0.0000  2 Ir 2.63, 6 Ga 2.76-2.82, 4 Ti 2.83-2.94
Ti  0.6199  0.3801  0.0000  4 Ir 2.62, 2 Ga 2.84
Ti  0.7369  0.7369  0.0000  4 Ir 2.64, 4 Ga 2.88, 2 Ti 2.94
Ti  0.8266  0.1734  0.0000  8 Ga 2.81-2.83, 4 Ti 2.83-2.94
Ti  0.9584  0.5975  0.0000  2 Ir 2.63, 6 Ga 2.76-2.82, 4 Ti 2.83-2.94
Ga  0.0387  0.2067  0.5000  1 Ir 2.70, 8 Ti 2.74-2.88, 2 Ga 2.94
Ga  0.1677  0.6227  0.5000  3 Ga 2.67-2.94, 1 Ir 2.74, 8 Ti 2.81-2.95
Ga  0.2067  0.0387  0.5000  1 Ir 2.70, 8 Ti 2.74-2.88, 2 Ga 2.94
Ga  0.3773  0.8323  0.5000  3 Ga 2.67-2.94, 1 Ir 2.74, 8 Ti 2.81-2.95
Ga  0.5000  0.5000  0.5000  4 Ti 2.84, 4 Ir 2.92, 2 Ga 2.94
Ga  0.6227  0.1677  0.5000  3 Ga 2.67-2.94, 1 Ir 2.74, 8 Ti 2.81-2.95
Ga  0.7933  0.9613  0.5000  1 Ir 2.70, 8 Ti 2.74-2.88, 2 Ga 2.94
Ga  0.8323  0.3773  0.5000  3 Ga 2.67-2.94, 1 Ir 2.74, 8 Ti 2.81-2.95
Ga  0.9613  0.7933  0.5000  1 Ir 2.70, 8 Ti 2.74-2.88, 2 Ga 2.94
Ir  0.2346  0.4313  0.5000  6 Ti 2.62-2.64, 3 Ga 2.70-2.92
Ir  0.4313  0.2346  0.5000  6 Ti 2.62-2.64, 3 Ga 2.70-2.92
Ir  0.5687  0.7654  0.5000  6 Ti 2.62-2.64, 3 Ga 2.70-2.92
Ir  0.7654  0.5687  0.5000  6 Ti 2.62-2.64, 3 Ga 2.70-2.92



A relaxed structure of La5PuRu4. Source: Alexandria, functional GGA-PBE.

Output
- ΔH_f (0 K): -0.208 eV/atom
- Fermi-level density of states: 12.51 states/eV/cell
- Total energy: -0.574 Ry per atom

Cell: 9.5903 9.5903 7.4649 Å, 112.84 112.84 25.70°
With the nearest neighbours (Å) after each atom.
Positions (direct):
La  0.0000  0.0000  0.0000  4 Ru 3.11
La  0.3244  0.3244  0.7047  4 Ru 2.81-3.13
La  0.3426  0.3426  0.2268  3 Ru 2.91-3.07
La  0.6574  0.6574  0.7732  3 Ru 2.91-3.07
La  0.6756  0.6756  0.2953  4 Ru 2.81-3.13
Pu  0.0000  0.0000  0.5000  6 Ru 2.62-2.68
Ru  0.1425  0.1425  0.4958  1 Pu 2.68, 4 La 2.81-2.91
Ru  0.4822  0.4822  0.6812  2 Pu 2.62
Ru  0.5178  0.5178  0.3188  2 Pu 2.62
Ru  0.8575  0.8575  0.5042  1 Pu 2.68, 4 La 2.81-2.91



Repeat the third record exactly.
A relaxed structure of In2CuAgTe2Se2. Source: Alexandria, functional GGA-PBE.

Output
- Formation energy without anion corrections: -0.339 eV/atom
- Fermi-level density of states: 1.96 states/eV/cell
- Total energy: -0.261 Ry per atom

Cell: 8.7437 12.4466 6.2179 Å, 90.00 134.62 90.00°
With the nearest neighbours (Å) after each atom.
Positions (direct):
In  0.0000  0.0000  0.0000  2 Se 2.70, 2 Te 2.83
In  0.0000  0.2384  0.5000  2 Se 2.68, 2 Te 2.83
In  0.5000  0.5000  0.0000  2 Se 2.70, 2 Te 2.83
In  0.5000  0.7384  0.5000  2 Se 2.68, 2 Te 2.83
Cu  0.0000  0.5076  0.0000  2 Se 2.47, 2 Te 2.60
Cu  0.5000  0.0076  0.0000  2 Se 2.47, 2 Te 2.60
Ag  0.0000  0.7335  0.5000  2 Se 2.69, 2 Te 2.79
Ag  0.5000  0.2335  0.5000  2 Se 2.69, 2 Te 2.79
Te  0.2357  0.3774  0.4603  1 Cu 2.60, 1 Ag 2.79, 2 In 2.83
Te  0.2643  0.8774  0.5397  1 Cu 2.60, 1 Ag 2.79, 2 In 2.83
Te  0.7357  0.8774  0.4603  1 Cu 2.60, 1 Ag 2.79, 2 In 2.83
Te  0.7643  0.3774  0.5397  1 Cu 2.60, 1 Ag 2.79, 2 In 2.83
Se  0.2406  0.6146  0.0061  1 Cu 2.47, 2 In 2.68-2.70, 1 Ag 2.69
Se  0.2594  0.1146  0.9939  1 Cu 2.47, 2 In 2.68-2.70, 1 Ag 2.69
Se  0.7406  0.1146  0.0061  1 Cu 2.47, 2 In 2.68-2.70, 1 Ag 2.69
Se  0.7594  0.6146  0.9939  1 Cu 2.47, 2 In 2.68-2.70, 1 Ag 2.69



Question: What is the formula in the fifth record?
Answer: Ti11Ga9Ir4